DFT (PBE) results for a relaxed structure of BeReNi3.

## Properties
* SG: Pm-3m, No. 221
* E: -30.060 eV for the cell shown

a = 3.8533 Å, b = 3.8533 Å, c = 3.8533 Å
α = 90.00°, β = 90.00°, γ = 90.00°
Fractional positions:
Be: 0.0000 0.0000 0.0000
Re: 0.5000 0.5000 0.5000
Ni: 0.0000 0.0000 0.5000
Ni: 0.0000 0.5000 0.0000
Ni: 0.5000 0.0000 0.0000

---

DFT (PBE) results for a relaxed structure of BeReNi.

## Properties
* SG: F-43m, No. 216
* ΔE to the lowest computed polymorph: 0.400 eV per atom

a = 3.8744 Å, b = 3.8744 Å, c = 3.8744 Å
α = 60.00°, β = 60.00°, γ = 60.00°
Fractional positions:
Be: 0.0000 0.0000 0.0000
Re: 0.2500 0.2500 0.2500
Ni: 0.5000 0.5000 0.5000

---

DFT (PBE) results for a relaxed structure of BeReNiSb.

## Properties
* SG: F-43m, No. 216
* E: -23.508 eV for the cell shown

a = 4.2682 Å, b = 4.2682 Å, c = 4.2682 Å
α = 60.00°, β = 60.00°, γ = 60.00°
Fractional positions:
Be: 0.0000 0.0000 0.0000
Re: 0.7500 0.7500 0.7500
Ni: 0.5000 0.5000 0.5000
Sb: 0.2500 0.2500 0.2500

---

Number 1: ρ 10.78 g/cm3. Number 2: ρ 10.25 g/cm3. Number 3: ρ 11.35 g/cm3.